No. 1
VASP calculation (PBE) on a relaxed Hf2Be16Cr crystal.

CIF file:
```
data_Hf2Be16Cr
_space_group_name_H-M_alt 'R 3 m'
_space_group_IT_number 160
_space_group_name_Hall 'R 3 -2"'
_cell_length_a 7.6136
_cell_length_b 7.6136
_cell_length_c 10.9358
_cell_angle_alpha 90.00
_cell_angle_beta 90.00
_cell_angle_gamma 120.00
loop_
_atom_site_label
_atom_site_type_symbol
_atom_site_fract_x
_atom_site_fract_y
_atom_site_fract_z
Hf1 Hf 0.0000 0.0000 0.0000
Hf2 Hf 0.0000 0.0000 0.3163
Be1 Be 0.0000 0.0000 0.5529
Be2 Be 0.9997 0.4998 0.1617
Be3 Be 0.9996 0.4998 0.5066
Be4 Be 0.0022 0.5011 0.8190
Be5 Be 0.0457 0.3782 0.3299
Cr1 Cr 0.0000 0.0000 0.7563
```

## Properties
Magnetization   5.5 Bohr magnetons per cell
Uncorrected energy   -4.85 eV per atom
Formation energy from the elements   -3.03 eV/f.u.

---

No. 2
VASP calculation (PBE) on a relaxed DyAlAu crystal.

CIF file:
```
data_DyAlAu
_space_group_name_H-M_alt 'C m c m'
_space_group_IT_number 63
_space_group_name_Hall '-C 2c 2'
_cell_length_a 5.1851
_cell_length_b 8.2564
_cell_length_c 6.0083
_cell_angle_alpha 90.00
_cell_angle_beta 90.00
_cell_angle_gamma 90.00
loop_
_atom_site_label
_atom_site_type_symbol
_atom_site_fract_x
_atom_site_fract_y
_atom_site_fract_z
Dy1 Dy 0.0000 0.1547 0.2500
Al1 Al 0.0000 0.5000 0.0000
Au1 Au 0.0000 0.1941 0.7500
```

## Properties
Magnetization   0.0 Bohr magnetons per cell
Uncorrected energy   -4.52 eV per atom
Formation energy from the elements   -1.95 eV/f.u.

---

No. 3
VASP calculation (PBE) on a relaxed LiGdDyMg crystal.

CIF file:
```
data_LiGdDyMg
_space_group_name_H-M_alt 'F -4 3 m'
_space_group_IT_number 216
_space_group_name_Hall 'F -4 2 3'
_cell_length_a 7.5410
_cell_length_b 7.5410
_cell_length_c 7.5410
_cell_angle_alpha 90.00
_cell_angle_beta 90.00
_cell_angle_gamma 90.00
loop_
_atom_site_label
_atom_site_type_symbol
_atom_site_fract_x
_atom_site_fract_y
_atom_site_fract_z
Li1 Li 0.0000 0.0000 0.0000
Gd1 Gd 0.2500 0.2500 0.2500
Dy1 Dy 0.2500 0.2500 0.7500
Mg1 Mg 0.0000 0.0000 0.5000
```

## Properties
Magnetization   31.9 Bohr magnetons per cell
Uncorrected energy   -5.52 eV per atom
Formation energy from the elements   0.11 eV/f.u.

---

No. 4
VASP calculation (PBE) on a relaxed Sm2CoBi crystal.

CIF file:
```
data_Sm2CoBi
_space_group_name_H-M_alt 'R -3 m'
_space_group_IT_number 166
_space_group_name_Hall '-R 3 2"'
_cell_length_a 3.7989
_cell_length_b 3.7989
_cell_length_c 29.0584
_cell_angle_alpha 90.00
_cell_angle_beta 90.00
_cell_angle_gamma 120.00
loop_
_atom_site_label
_atom_site_type_symbol
_atom_site_fract_x
_atom_site_fract_y
_atom_site_fract_z
Sm1 Sm 0.0000 0.0000 0.1131
Co1 Co 0.0000 0.0000 0.5000
Bi1 Bi 0.0000 0.0000 0.0000
```

## Properties
Magnetization   0.0 Bohr magnetons per cell
Uncorrected energy   -5.16 eV per atom
Formation energy from the elements   -0.23 eV/f.u.

---

formation energy from the elements of number 2 (DyAlAu)? -1.95 eV/f.u.